A plane-wave DFT calculation with PBE-GGA was carried out for an optimized crystal structure of LiIrRu2.

Computed properties:
ΔE_f (eV per atom): 0.115
Energy above the most stable polymorph in this dataset (meV/atom): 33.0
Crystal system: orthorhombic
Density of states at the Fermi level (states/eV per atom): 1.007

```
LiIrRu2
1.0
2.7230 0.0000 0.0000
0.0000 3.9249 0.0000
0.0000 0.0000 5.0602
Li Ir Ru
1 1 2
direct
0.0000 0.0000 0.0000
0.0000 0.0000 0.5000
0.5000 0.5000 0.2369
0.5000 0.5000 0.7631
```